VASP calculation (GGA-PBE) on CdAsOs2I after structural relaxation.

Cell lengths 5.098, 5.098, 4.904 Å; angles 90.00, 90.00, 90.00 degrees
Atoms (fractional coordinates):
1 Cd 0.000 0.000 0.000
2 As 0.000 0.000 0.500
3 Os 0.000 0.500 0.000
4 Os 0.500 0.000 0.000
5 I 0.500 0.500 0.500

Summary:
The energy comes out at -17.33 eV/cell.

=====

VASP calculation (GGA-PBE) on Cd6As2PI3 after structural relaxation.

Cell lengths 7.274, 7.274, 7.544 Å; angles 99.31, 99.31, 119.95 degrees
Atoms (fractional coordinates):
1 Cd 0.062 0.387 0.187
2 Cd 0.260 0.260 0.811
3 Cd 0.387 0.062 0.187
4 Cd 0.613 0.938 0.813
5 Cd 0.740 0.740 0.189
6 Cd 0.938 0.613 0.813
7 As 0.334 0.666 0.000
8 As 0.666 0.334 0.000
9 P 0.000 0.000 0.000
10 I 0.165 0.835 0.500
11 I 0.500 0.500 0.500
12 I 0.835 0.165 0.500

Summary:
The energy comes out at -26.80 eV/cell.

=====

VASP calculation (GGA-PBE) on Cd4AsPI3 after structural relaxation.

Cell lengths 13.120, 13.120, 13.120 Å; angles 90.00, 90.00, 90.00 degrees
Atoms (fractional coordinates):
1 Cd 0.006 0.236 0.536
2 Cd 0.006 0.264 0.036
3 Cd 0.036 0.006 0.264
4 Cd 0.036 0.494 0.764
5 Cd 0.222 0.222 0.222
6 Cd 0.222 0.278 0.722
7 Cd 0.236 0.536 0.006
8 Cd 0.236 0.964 0.506
9 Cd 0.264 0.036 0.006
10 Cd 0.264 0.464 0.506
11 Cd 0.278 0.722 0.222
12 Cd 0.278 0.778 0.722
13 Cd 0.464 0.506 0.264
14 Cd 0.464 0.994 0.764
15 Cd 0.494 0.736 0.536
16 Cd 0.494 0.764 0.036
17 Cd 0.506 0.236 0.964
18 Cd 0.506 0.264 0.464
19 Cd 0.536 0.006 0.236
20 Cd 0.536 0.494 0.736
21 Cd 0.722 0.222 0.278
22 Cd 0.722 0.278 0.778
23 Cd 0.736 0.536 0.494
24 Cd 0.736 0.964 0.994
25 Cd 0.764 0.036 0.494
26 Cd 0.764 0.464 0.994
27 Cd 0.778 0.722 0.278
28 Cd 0.778 0.778 0.778
29 Cd 0.964 0.506 0.236
30 Cd 0.964 0.994 0.736
31 Cd 0.994 0.736 0.964
32 Cd 0.994 0.764 0.464
33 As 0.108 0.108 0.108
34 As 0.108 0.392 0.608
35 As 0.392 0.608 0.108
36 As 0.392 0.892 0.608
37 As 0.608 0.108 0.392
38 As 0.608 0.392 0.892
39 As 0.892 0.608 0.392
40 As 0.892 0.892 0.892
41 P 0.049 0.549 0.951
42 P 0.049 0.951 0.451
43 P 0.451 0.049 0.951
44 P 0.451 0.451 0.451
45 P 0.549 0.549 0.549
46 P 0.549 0.951 0.049
47 P 0.951 0.049 0.549
48 P 0.951 0.451 0.049
49 I 0.059 0.739 0.687
50 I 0.059 0.761 0.187
51 I 0.187 0.059 0.761
52 I 0.187 0.441 0.261
53 I 0.239 0.687 0.441
54 I 0.239 0.813 0.941
55 I 0.261 0.187 0.441
56 I 0.261 0.313 0.941
57 I 0.313 0.559 0.761
58 I 0.313 0.941 0.261
59 I 0.441 0.239 0.687
60 I 0.441 0.261 0.187
61 I 0.559 0.739 0.813
62 I 0.559 0.761 0.313
63 I 0.687 0.059 0.739
64 I 0.687 0.441 0.239
65 I 0.739 0.687 0.059
66 I 0.739 0.813 0.559
67 I 0.761 0.187 0.059
68 I 0.761 0.313 0.559
69 I 0.813 0.559 0.739
70 I 0.813 0.941 0.239
71 I 0.941 0.239 0.813
72 I 0.941 0.261 0.313

Summary:
The energy comes out at -171.85 eV/cell.

=====

VASP calculation (GGA-PBE) on Cd4AsPI2 after structural relaxation.

Cell lengths 8.536, 8.536, 8.320 Å; angles 119.13, 119.13, 92.11 degrees
Atoms (fractional coordinates):
1 Cd 0.187 0.248 0.468
2 Cd 0.228 0.771 0.958
3 Cd 0.229 0.772 0.542
4 Cd 0.248 0.187 0.968
5 Cd 0.752 0.813 0.032
6 Cd 0.771 0.228 0.458
7 Cd 0.772 0.229 0.042
8 Cd 0.813 0.752 0.532
9 As 0.000 0.000 0.000
10 As 0.000 0.000 0.500
11 P 0.000 0.500 0.500
12 P 0.500 0.000 0.000
13 I 0.000 0.500 0.000
14 I 0.500 0.000 0.500
15 I 0.500 0.500 0.000
16 I 0.500 0.500 0.500

Summary:
The energy comes out at -35.89 eV/cell.

=====

Result set for ρ: 9.05, 6.27, 5.51, 6.23 g cm⁻³, one per record in the order listed.